Entry 1:
! Zr3Be (PBE, optimized geometry); values from VASP
! E_form: 0.1590 eV per atom
! symmetry: R-3m, No. 166
! electronic total energy: -28.73 eV per cell
! crystal system: trigonal
&SYSTEM
  ibrav = 0, nat = 4, ntyp = 2
/
ATOMIC_SPECIES
Zr 91.22 Zr.upf
Be 9.01 Be.upf
ATOMIC_POSITIONS angstrom
Zr 0.000 0.000 0.000
Zr 0.000 0.000 6.361
Zr 0.000 0.000 20.673
Be 0.000 0.000 13.517
CELL_PARAMETERS angstrom
1.616 0.933 9.011
-1.616 0.933 9.011
0.000 -1.866 9.011

Entry 2:
! Te2INF (PBE, optimized geometry); values from VASP
! symmetry: P4/mmm, No. 123
! electronic total energy: -11.90 eV per cell
! crystal system: tetragonal
! E_form (uncorrected): 1.226 eV per atom
&SYSTEM
  ibrav = 0, nat = 5, ntyp = 4
/
ATOMIC_SPECIES
Te 127.60 Te.upf
I 126.90 I.upf
N 14.01 N.upf
F 19.00 F.upf
ATOMIC_POSITIONS angstrom
Te 0.000 2.548 0.000
Te 2.548 0.000 0.000
I 0.000 0.000 2.098
N 2.548 2.548 2.098
F 2.548 2.548 0.000
CELL_PARAMETERS angstrom
5.097 0.000 0.000
0.000 5.097 0.000
0.000 0.000 4.196

Entry 3:
! YMo2Os (PBE, optimized geometry); values from VASP
! E_form: 0.4976 eV per atom
! symmetry: R3m, No. 160
! electronic total energy: -37.37 eV per cell
! crystal system: trigonal
&SYSTEM
  ibrav = 0, nat = 4, ntyp = 3
/
ATOMIC_SPECIES
Y 88.91 Y.upf
Mo 95.94 Mo.upf
Os 190.23 Os.upf
ATOMIC_POSITIONS angstrom
Y 0.000 0.000 0.000
Mo 0.000 0.000 13.289
Mo 0.000 0.000 20.213
Os 0.000 0.000 6.432
CELL_PARAMETERS angstrom
1.542 0.890 8.848
-1.542 0.890 8.848
0.000 -1.780 8.848

Entry 4:
! SmMgGaCo (PBE, optimized geometry); values from VASP
! E_form: -0.1432 eV per atom
! symmetry: F-43m, No. 216
! electronic total energy: -17.02 eV per cell
! crystal system: cubic
&SYSTEM
  ibrav = 0, nat = 4, ntyp = 4
/
ATOMIC_SPECIES
Sm 150.36 Sm.upf
Mg 24.30 Mg.upf
Ga 69.72 Ga.upf
Co 58.93 Co.upf
ATOMIC_POSITIONS angstrom
Sm 0.000 0.000 0.000
Mg 3.387 3.387 3.387
Ga 5.080 5.080 5.080
Co 1.693 1.693 1.693
CELL_PARAMETERS angstrom
0.000 3.387 3.387
3.387 0.000 3.387
3.387 3.387 0.000

Entry 5:
! BaTe2PdN (PBE, optimized geometry); values from VASP
! symmetry: P4/mmm, No. 123
! electronic total energy: -22.29 eV per cell
! crystal system: tetragonal
! E_form (uncorrected): -0.113 eV per atom
&SYSTEM
  ibrav = 0, nat = 5, ntyp = 4
/
ATOMIC_SPECIES
Ba 137.33 Ba.upf
Te 127.60 Te.upf
Pd 106.42 Pd.upf
N 14.01 N.upf
ATOMIC_POSITIONS angstrom
Ba 0.000 0.000 0.000
Te 0.000 2.950 1.918
Te 2.950 0.000 1.918
Pd 2.950 2.950 1.918
N 2.950 2.950 0.000
CELL_PARAMETERS angstrom
5.900 0.000 0.000
0.000 5.900 0.000
0.000 0.000 3.837

Entry 6:
! PmHBr (PBE, optimized geometry); values from VASP
! symmetry: C2/m, No. 12
! electronic total energy: -27.07 eV per cell
! crystal system: monoclinic
&SYSTEM
  ibrav = 0, nat = 6, ntyp = 3
/
ATOMIC_SPECIES
Pm 145.00 Pm.upf
H 1.01 H.upf
Br 79.90 Br.upf
ATOMIC_POSITIONS angstrom
Pm 0.861 0.000 3.886
Pm 5.455 0.000 6.720
H 0.858 0.000 6.177
H 5.457 0.000 4.429
Br 3.159 0.000 1.997
Br 3.156 0.000 8.608
CELL_PARAMETERS angstrom
3.448 -1.991 0.000
3.448 1.991 0.000
-0.580 0.000 10.606

Entry 7:
! CeMg2Pt3 (PBE, optimized geometry); values from VASP
! E_form: -0.8886 eV per atom
! symmetry: P4/mmm, No. 123
! electronic total energy: -32.58 eV per cell
! crystal system: tetragonal
&SYSTEM
  ibrav = 0, nat = 6, ntyp = 3
/
ATOMIC_SPECIES
Ce 140.12 Ce.upf
Mg 24.30 Mg.upf
Pt 195.08 Pt.upf
ATOMIC_POSITIONS angstrom
Ce 0.000 0.000 0.000
Mg 0.000 0.000 3.477
Mg 0.000 0.000 6.479
Pt 1.653 1.653 1.929
Pt 1.653 1.653 4.978
Pt 1.653 1.653 8.027
CELL_PARAMETERS angstrom
3.307 0.000 0.000
0.000 3.307 0.000
0.000 0.000 9.956

Entry 8:
! ZrAu5 (PBE, optimized geometry); values from VASP
! E_form: 0.0071 eV per atom
! symmetry: P6/mmm, No. 191
! electronic total energy: -24.89 eV per cell
! crystal system: hexagonal
&SYSTEM
  ibrav = 0, nat = 6, ntyp = 2
/
ATOMIC_SPECIES
Zr 91.22 Zr.upf
Au 196.97 Au.upf
ATOMIC_POSITIONS angstrom
Zr 0.000 0.000 0.000
Au -1.345 2.329 2.427
Au 0.000 3.106 0.000
Au 2.690 0.000 2.427
Au 1.345 2.329 2.427
Au 2.690 1.553 0.000
CELL_PARAMETERS angstrom
5.379 0.000 0.000
-2.690 4.658 0.000
0.000 0.000 4.854